Compound: CrWCl2
Source: Alexandria via LeMat-Bulk
Functional: GGA-PBEsol
Structure: relaxed

```
CrWCl2
1.0
-3.7861 -1.7531 1.5405
-1.1828 -4.1224 -1.1780
0.1277 -3.2902 2.9898
Cl Cr W
2 1 1
Cartesian
0.0000 0.0000 0.0000 Cl
-1.2103 -2.2914 0.8381 Cl
-2.4206 -4.5828 1.6762 Cr
-3.6309 -6.8743 2.5143 W
```

As for the spin magnetization: 1.370 Bohr magnetons per cell. The calculation puts the energy relative to the elements, uncorrected at 106 kJ per mole of atoms. The value obtained for the mass density is 8.188 Mg/m³. Its volume is 62.2 Å³ per cell. The calculation puts the energy at -23.7 eV per cell.